A plane-wave DFT calculation with GGA-PBE was carried out for a relaxed structure of LaIr.

Cell: 4.5280 4.5280 4.5280 Å, 60.00 60.00 60.00°
Element x y z (fractional)
Ir 0.0000 0.0000 0.0000
La 0.7500 0.7500 0.7500

Values from the calculation:
Energy relative to the elements   -14 kJ/mol of formula units
Spin magnetization   0.0 μB per cell
ρ   8.38 g/cm3